Computed, not measured: a geometry-optimized SrMnSi2Ru structure at the GGA-PBE level of DFT.

a = 5.2308 Å, b = 5.2308 Å, c = 4.9986 Å
α = 90.00°, β = 90.00°, γ = 90.00°
With the nearest neighbours (Å) after each atom.
Element x y z (fractional)
Sr: 0.0000 0.0000 0.0000  2 Mn 2.50, 4 Si 2.62
Mn: 0.0000 0.0000 0.5000  2 Sr 2.50
Si: 0.0000 0.5000 0.0000  2 Sr 2.62
Si: 0.5000 0.0000 0.0000  2 Sr 2.62
Ru: 0.5000 0.5000 0.5000  8 Si 3.62, 4 Mn 3.70

Total DFT energy (no corrections) (eV/atom): -3.76
DOS(E_F) (states/eV/cell): 6.7
Total magnetic moment (μB/f.u.): 6.20
SG: No. 123

***

Computed, not measured: a geometry-optimized ZrSc2Te structure at the GGA-PBE level of DFT.

a = 5.8199 Å, b = 5.8199 Å, c = 5.4123 Å
α = 117.46°, β = 117.46°, γ = 35.52°
With the nearest neighbours (Å) after each atom.
Element x y z (fractional)
Zr: 0.0000 0.0000 0.0000  3 Te 3.02-3.14, 7 Sc 3.02-3.28
Sc: 0.2318 0.2318 0.8569  2 Te 2.99, 3 Zr 3.02-3.22, 3 Sc 3.04-3.23
Sc: 0.4621 0.4621 0.4666  3 Te 3.02-3.13, 3 Sc 3.04-3.23, 4 Zr 3.24-3.28
Te: 0.7304 0.7304 0.4111  5 Sc 2.99-3.13, 3 Zr 3.02-3.14

Total DFT energy (no corrections) (eV/atom): -6.52
DOS(E_F) (states/eV/cell): 4.1
Total magnetic moment (μB/f.u.): 0.00
SG: No. 8

***

Computed, not measured: a geometry-optimized Pm2MgZn3Ag4 structure at the GGA-PBE level of DFT.

a = 4.1656 Å, b = 4.1656 Å, c = 12.1801 Å
α = 90.00°, β = 90.00°, γ = 90.00°
With the nearest neighbours (Å) after each atom.
Element x y z (fractional)
Pm: 0.0000 0.5000 0.2381  4 Zn 3.19, 4 Ag 3.26
Pm: 0.5000 0.0000 0.7619  4 Zn 3.19, 4 Ag 3.26
Mg: 0.0000 0.0000 0.5000  4 Ag 2.75, 4 Zn 2.95
Zn: 0.0000 0.5000 0.8619  5 Ag 2.61-2.68
Zn: 0.5000 0.0000 0.1381  5 Ag 2.61-2.68
Zn: 0.5000 0.5000 0.5000  4 Ag 2.75, 4 Mg 2.95
Ag: 0.0000 0.0000 0.0000  4 Zn 2.68, 4 Ag 2.95
Ag: 0.0000 0.5000 0.6478  3 Zn 2.61-2.75, 2 Mg 2.75
Ag: 0.5000 0.0000 0.3522  3 Zn 2.61-2.75, 2 Mg 2.75
Ag: 0.5000 0.5000 0.0000  4 Zn 2.68, 4 Ag 2.95

DOS(E_F) (states/eV/cell): 7.6
Formation energy (eV/atom): -0.2265
Total magnetic moment (μB/f.u.): 0.00
SG: No. 115

***

Computed, not measured: a geometry-optimized Zn3NiPb structure at the GGA-PBE level of DFT.

a = 4.6429 Å, b = 4.6429 Å, c = 4.6429 Å
α = 90.00°, β = 90.00°, γ = 90.00°
With the nearest neighbours (Å) after each atom.
Element x y z (fractional)
Zn: 0.0000 0.0000 0.5000  2 Ni 2.32
Zn: 0.0000 0.5000 0.0000  2 Ni 2.32
Zn: 0.5000 0.0000 0.0000  2 Ni 2.32
Ni: 0.0000 0.0000 0.0000  6 Zn 2.32
Pb: 0.5000 0.5000 0.5000  12 Zn 3.28

DOS(E_F) (states/eV/cell): 1.9
Formation energy (eV/atom): 0.1358
Total magnetic moment (μB/f.u.): 0.00
SG: No. 221
Relative energy among the computed polymorphs (meV per atom): 0

***

Computed, not measured: a geometry-optimized KFeCo2S structure at the GGA-PBE level of DFT.

a = 4.4661 Å, b = 4.4661 Å, c = 4.7674 Å
α = 90.00°, β = 90.00°, γ = 90.00°
With the nearest neighbours (Å) after each atom.
Element x y z (fractional)
K: 0.0000 0.0000 0.0000  4 Co 2.23, 2 Fe 2.38
Fe: 0.0000 0.0000 0.5000  2 K 2.38
Co: 0.0000 0.5000 0.0000  2 K 2.23
Co: 0.5000 0.0000 0.0000  2 K 2.23
S: 0.5000 0.5000 0.5000  4 Fe 3.16, 8 Co 3.27

Total DFT energy (no corrections) (eV/atom): -3.11
DOS(E_F) (states/eV/cell): 7.7
Total magnetic moment (μB/f.u.): 5.99
SG: No. 123

***

Computed, not measured: a geometry-optimized Ca2NiRh structure at the GGA-PBE level of DFT.

a = 3.4673 Å, b = 3.4842 Å, c = 6.6635 Å
α = 90.00°, β = 90.00°, γ = 90.00°
With the nearest neighbours (Å) after each atom.
Element x y z (fractional)
Ca: 0.0000 0.0000 0.2480  4 Rh 2.96, 4 Ni 2.98, 1 Ca 3.30
Ca: 0.0000 0.0000 0.7520  4 Rh 2.96, 4 Ni 2.98, 1 Ca 3.30
Ni: 0.5000 0.5000 0.5000  8 Ca 2.98, 2 Rh 3.33
Rh: 0.5000 0.5000 0.0000  8 Ca 2.96

DOS(E_F) (states/eV/cell): 1.7
Formation energy (eV/atom): -0.1386
Total magnetic moment (μB/f.u.): 0.00
SG: No. 47

***

Computed, not measured: a geometry-optimized Sm2Er3Se8 structure at the GGA-PBE level of DFT.

a = 8.2772 Å, b = 8.2772 Å, c = 6.9934 Å
α = 106.76°, β = 106.76°, γ = 59.62°
With the nearest neighbours (Å) after each atom.
Element x y z (fractional)
Sm: 0.2409 0.2409 0.1629  6 Se 2.89-2.96
Sm: 0.7591 0.7591 0.8371  6 Se 2.89-2.96
Er: 0.2392 0.7608 0.5000  6 Se 2.79-2.88
Er: 0.5000 0.5000 0.0000  6 Se 2.81-2.85
Er: 0.7608 0.2392 0.5000  6 Se 2.79-2.88
Se: 0.1203 0.1203 0.4214  2 Er 2.79, 1 Sm 2.89
Se: 0.1419 0.6177 0.0883  2 Er 2.81-2.83, 2 Sm 2.95-2.96
Se: 0.3823 0.8581 0.9117  2 Er 2.81-2.83, 2 Sm 2.95-2.96
Se: 0.3846 0.3846 0.5799  3 Er 2.85-2.88, 1 Sm 2.96
Se: 0.6154 0.6154 0.4201  3 Er 2.85-2.88, 1 Sm 2.96
Se: 0.6177 0.1419 0.0883  2 Er 2.81-2.83, 2 Sm 2.95-2.96
Se: 0.8581 0.3823 0.9117  2 Er 2.81-2.83, 2 Sm 2.95-2.96
Se: 0.8797 0.8797 0.5786  2 Er 2.79, 1 Sm 2.89

Total DFT energy (no corrections) (eV/atom): -5.65
DOS(E_F) (states/eV/cell): 6.4
Total magnetic moment (μB/f.u.): 0.00
SG: No. 12

***

Computed, not measured: a geometry-optimized Na3Tl2Pt structure at the GGA-PBE level of DFT.

a = 7.9917 Å, b = 7.9917 Å, c = 10.2374 Å
α = 121.92°, β = 121.92°, γ = 36.62°
With the nearest neighbours (Å) after each atom.
Element x y z (fractional)
Na: 0.1119 0.1119 0.1920  1 Pt 3.00
Na: 0.2121 0.2121 0.5929  2 Pt 3.10, 4 Tl 3.16-3.29, 3 Na 3.42-3.43
Na: 0.3397 0.3397 0.9925  1 Pt 2.98, 3 Tl 3.15-3.28
Na: 0.6603 0.6603 0.0075  1 Pt 2.98, 3 Tl 3.15-3.28
Na: 0.7879 0.7879 0.4071  2 Pt 3.10, 4 Tl 3.16-3.29, 3 Na 3.42-3.43
Na: 0.8881 0.8881 0.8080  1 Pt 3.00
Tl: 0.0909 0.0909 0.7629  2 Pt 2.87, 2 Na 3.15-3.16, 2 Tl 3.21
Tl: 0.4336 0.4336 0.6062  2 Pt 2.79-3.00
Tl: 0.5664 0.5664 0.3938  2 Pt 2.79-3.00
Tl: 0.9091 0.9091 0.2371  2 Pt 2.87, 2 Na 3.15-3.16, 2 Tl 3.21
Pt: 0.3364 0.3364 0.2806  4 Tl 2.79-3.00, 4 Na 2.98-3.10
Pt: 0.6636 0.6636 0.7194  4 Tl 2.79-3.00, 4 Na 2.98-3.10

DOS(E_F) (states/eV/cell): 5.7
Formation energy (eV/atom): -0.1163
Total magnetic moment (μB/f.u.): 0.00
SG: No. 12
Relative energy among the computed polymorphs (meV per atom): 28

***

Computed, not measured: a geometry-optimized LiAgF4 structure at the GGA-PBE level of DFT.

a = 4.7235 Å, b = 4.7235 Å, c = 3.5708 Å
α = 96.24°, β = 96.24°, γ = 86.42°
With the nearest neighbours (Å) after each atom.
Element x y z (fractional)
Li: 0.0000 0.0000 0.0000  6 F 1.99-2.19
Ag: 0.5000 0.5000 0.5000  4 F 1.97
F: 0.1952 0.8048 0.5000  1 Ag 1.97, 2 Li 2.19
F: 0.2920 0.2920 0.0576  1 Ag 1.97, 1 Li 1.99
F: 0.7080 0.7080 0.9424  1 Ag 1.97, 1 Li 1.99
F: 0.8048 0.1952 0.5000  1 Ag 1.97, 2 Li 2.19

Total magnetic moment (μB/f.u.): 0.00
SG: No. 12
Relative energy among the computed polymorphs (meV per atom): 4

***

Computed, not measured: a geometry-optimized Y4OsAu structure at the GGA-PBE level of DFT.

a = 5.9053 Å, b = 5.9053 Å, c = 5.9053 Å
α = 60.00°, β = 60.00°, γ = 60.00°
With the nearest neighbours (Å) after each atom.
Element x y z (fractional)
Y: 0.3761 0.3761 0.3761  6 Y 2.93-2.98
Y: 0.3761 0.3761 0.8717  6 Y 2.93-2.98
Y: 0.3761 0.8717 0.3761  6 Y 2.93-2.98
Y: 0.8717 0.3761 0.3761  6 Y 2.93-2.98
Os: 0.7500 0.7500 0.7500  12 Y 3.46, 4 Au 3.62
Au: 0.0000 0.0000 0.0000  12 Y 3.47, 4 Os 3.62

DOS(E_F) (states/eV/cell): 8.5
Formation energy (eV/atom): 0.7519
Total magnetic moment (μB/f.u.): 0.01
SG: No. 216
Relative energy among the computed polymorphs (meV per atom): 1199

***

Computed, not measured: a geometry-optimized CsBiRuBr2 structure at the GGA-PBE level of DFT.

a = 5.5669 Å, b = 5.5669 Å, c = 5.1628 Å
α = 90.00°, β = 90.00°, γ = 90.00°
With the nearest neighbours (Å) after each atom.
Element x y z (fractional)
Cs: 0.0000 0.0000 0.0000  8 Br 3.80, 4 Bi 3.94
Bi: 0.5000 0.5000 0.0000  2 Ru 2.58
Ru: 0.5000 0.5000 0.5000  2 Bi 2.58, 4 Br 2.78
Br: 0.0000 0.5000 0.5000  2 Ru 2.78
Br: 0.5000 0.0000 0.5000  2 Ru 2.78

Total DFT energy (no corrections) (eV/atom): -3.70
DOS(E_F) (states/eV/cell): 5.6
Total magnetic moment (μB/f.u.): 0.13
SG: No. 123

***

Computed, not measured: a geometry-optimized HgBCl2 structure at the GGA-PBE level of DFT.

a = 10.5970 Å, b = 10.5970 Å, c = 10.5970 Å
α = 18.67°, β = 18.67°, γ = 18.67°
With the nearest neighbours (Å) after each atom.
Element x y z (fractional)
Hg: 0.0000 0.0000 0.0000  6 Hg 3.44
B: 0.5000 0.5000 0.5000  2 Cl 1.68
Cl: 0.4463 0.4463 0.4463  1 B 1.68
Cl: 0.5537 0.5537 0.5537  1 B 1.68

DOS(E_F) (states/eV/cell): 1.8
Total magnetic moment (μB/f.u.): 0.46
SG: No. 166
Relative energy among the computed polymorphs (meV per atom): 7

***

Computed, not measured: a geometry-optimized AlSiSb2 structure at the GGA-PBE level of DFT.

a = 3.1767 Å, b = 3.1767 Å, c = 8.9922 Å
α = 90.00°, β = 90.00°, γ = 97.99°
With the nearest neighbours (Å) after each atom.
Element x y z (fractional)
Al: 0.0000 0.0000 0.0000  4 Si 2.61-2.86
Si: 0.5000 0.5000 0.1743  4 Al 2.61-2.86, 2 Sb 2.90
Sb: 0.0000 0.0000 0.3987  4 Si 2.90-3.13, 4 Sb 3.18
Sb: 0.5000 0.5000 0.7563  4 Al 3.02-3.25, 4 Sb 3.18

DOS(E_F) (states/eV/cell): 1.9
Total magnetic moment (μB/f.u.): 0.00
SG: No. 35
Relative energy among the computed polymorphs (meV per atom): 137

***

Computed, not measured: a geometry-optimized ThBeCu structure at the GGA-PBE level of DFT.

a = 4.2651 Å, b = 4.2651 Å, c = 3.5302 Å
α = 90.00°, β = 90.00°, γ = 120.00°
With the nearest neighbours (Å) after each atom.
Element x y z (fractional)
Th: 0.0000 0.0000 0.0000  6 Cu 3.03, 6 Be 3.03
Be: 0.6667 0.3333 0.5000  3 Cu 2.46
Cu: 0.3333 0.6667 0.5000  3 Be 2.46

DOS(E_F) (states/eV/cell): 3.2
Formation energy (eV/atom): -0.0400
Total magnetic moment (μB/f.u.): 0.00
SG: No. 187
Relative energy among the computed polymorphs (meV per atom): 0

***

Computed, not measured: a geometry-optimized Li2CrPt9 structure at the GGA-PBE level of DFT.

a = 3.8953 Å, b = 3.8953 Å, c = 11.6775 Å
α = 90.00°, β = 90.00°, γ = 90.00°
With the nearest neighbours (Å) after each atom.
Element x y z (fractional)
Li: 0.0000 0.0000 0.1639  12 Pt 2.73-2.77
Li: 0.0000 0.0000 0.8361  12 Pt 2.73-2.77
Cr: 0.0000 0.0000 0.5000  12 Pt 2.75-2.76
Pt: 0.0000 0.5000 0.0000  4 Li 2.73, 8 Pt 2.74-2.75
Pt: 0.0000 0.5000 0.3330  8 Pt 2.75-2.76, 2 Cr 2.76, 2 Li 2.77
Pt: 0.0000 0.5000 0.6670  8 Pt 2.75-2.76, 2 Cr 2.76, 2 Li 2.77
Pt: 0.5000 0.0000 0.0000  4 Li 2.73, 8 Pt 2.74-2.75
Pt: 0.5000 0.0000 0.3330  8 Pt 2.75-2.76, 2 Cr 2.76, 2 Li 2.77
Pt: 0.5000 0.0000 0.6670  8 Pt 2.75-2.76, 2 Cr 2.76, 2 Li 2.77
Pt: 0.5000 0.5000 0.1655  8 Pt 2.74-2.76, 4 Li 2.75
Pt: 0.5000 0.5000 0.5000  4 Cr 2.75, 8 Pt 2.76
Pt: 0.5000 0.5000 0.8345  8 Pt 2.74-2.76, 4 Li 2.75

DOS(E_F) (states/eV/cell): 12.8
Formation energy (eV/atom): -0.3639
Total magnetic moment (μB/f.u.): 2.79
SG: No. 123

***

Computed, not measured: a geometry-optimized CsYbCoS3 structure at the GGA-PBE level of DFT.

a = 7.9661 Å, b = 7.9661 Å, c = 10.5975 Å
α = 90.00°, β = 90.00°, γ = 151.42°
With the nearest neighbours (Å) after each atom.
Element x y z (fractional)
Cs: 0.2352 0.7648 0.7500  8 S 3.57-3.89, 2 Cs 3.93
Cs: 0.7648 0.2352 0.2500  8 S 3.57-3.89, 2 Cs 3.93
Yb: 0.5000 0.5000 0.0000  6 S 2.73-2.74
Yb: 0.5000 0.5000 0.5000  6 S 2.73-2.74
Co: 0.0384 0.9616 0.2500  4 S 2.21-2.33
Co: 0.9616 0.0384 0.7500  4 S 2.21-2.33
S: 0.1135 0.8865 0.0719  1 Co 2.21
S: 0.1135 0.8865 0.4281  1 Co 2.21
S: 0.4576 0.5424 0.2500  2 Co 2.33
S: 0.5424 0.4576 0.7500  2 Co 2.33
S: 0.8865 0.1135 0.5719  1 Co 2.21
S: 0.8865 0.1135 0.9281  1 Co 2.21

Total DFT energy (no corrections) (eV/atom): -4.79
DOS(E_F) (states/eV/cell): 26.8
Total magnetic moment (μB/f.u.): 3.01
SG: No. 63